A plane-wave DFT calculation with PBE+U was carried out for a relaxed CrGaPbF6 crystal.

a = 5.9622 Å, b = 5.9622 Å, c = 9.8320 Å
α = 90.00°, β = 90.00°, γ = 120.00°
Space group P-31c (No. 163)
Inequivalent atoms, fractional coordinates:
1 Cr 0.3333 0.6667 0.2500 [2 per cell]
2 Ga 0.3333 0.6667 0.7500 [2 per cell]
3 Pb 0.0000 0.0000 0.0000 [2 per cell]
4 F 0.0720 0.3884 0.1358 [12 per cell]

Computed properties:
- Spin magnetization: 5.93 μB/cell
- Total energy: -46.65 eV/f.u.
- ρ: 4.9 Mg/m³